(1)
## DySc3Ru (PBE-GGA)

Data for an optimized crystal structure of DySc3Ru. Values from VASP.

Calculated values
The value obtained for the electronic total energy is -33.51 eV/cell. As for the size of the total moment: 0.0000 μB per atom. The space group is Pm-3m (221). Its density of states at the Fermi level is 1.2694 states/eV/atom. As for the formation energy: -127 meV/atom. The value obtained for the relative energy among the computed polymorphs is 0.0695 eV/atom.

Cell and atoms, written as Quantum ESPRESSO input:
```
&SYSTEM
  ibrav = 0, nat = 5, ntyp = 3
/
ATOMIC_SPECIES
Ru 101.07 Ru.upf
Sc 44.96 Sc.upf
Dy 162.50 Dy.upf
ATOMIC_POSITIONS crystal
Ru 0.000 0.000 0.000
Sc 0.500 0.000 0.000
Sc 0.000 0.000 0.500
Sc 0.000 0.500 0.000
Dy 0.500 0.500 0.500
CELL_PARAMETERS angstrom
5.046 0.000 0.000
0.000 5.046 0.000
0.000 0.000 5.046
```

***

(2)
## AcPdBr (PBE-GGA)

Data for an optimized crystal structure of AcPdBr. Values from VASP.

Calculated values
The value obtained for the electronic total energy is -29.95 eV/cell. As for the size of the total moment: 0.0000 μB per atom. The space group is C2/m (12). The value obtained for the relative energy among the computed polymorphs is 0.0004 eV/atom. The calculation puts the formation energy from raw total energies at -1.334 eV per atom.

Cell and atoms, written as Quantum ESPRESSO input:
```
&SYSTEM
  ibrav = 0, nat = 6, ntyp = 3
/
ATOMIC_SPECIES
Ac 227.00 Ac.upf
Br 79.90 Br.upf
Pd 106.42 Pd.upf
ATOMIC_POSITIONS crystal
Ac 0.993 0.993 0.675
Ac 0.007 0.007 0.325
Br 0.321 0.321 0.842
Br 0.679 0.679 0.158
Pd 0.666 0.666 0.528
Pd 0.334 0.334 0.472
CELL_PARAMETERS angstrom
-0.645 4.084 1.910
-0.414 0.356 4.522
11.294 1.520 1.168
```

***

(3)
## AcMn2P2 (PBE-GGA)

Data for an optimized crystal structure of AcMn2P2. Values from VASP.

Calculated values
The value obtained for the electronic total energy is -37.61 eV/cell. As for the size of the total moment: 0.6749 μB per atom. The space group is I4/mmm (139). Its density of states at the Fermi level is 0.5007 states/eV/atom. As for the formation energy: -868 meV/atom.

Cell and atoms, written as Quantum ESPRESSO input:
```
&SYSTEM
  ibrav = 0, nat = 5, ntyp = 3
/
ATOMIC_SPECIES
Ac 227.00 Ac.upf
Mn 54.94 Mn.upf
P 30.97 P.upf
ATOMIC_POSITIONS crystal
Ac 0.000 0.000 0.000
Mn 0.750 0.250 0.500
Mn 0.250 0.750 0.500
P 0.355 0.355 0.710
P 0.645 0.645 0.290
CELL_PARAMETERS angstrom
3.558 0.000 -1.330
-0.497 3.523 -1.330
0.447 0.515 6.623
```

***

(4)
## ScTlTe (PBE-GGA)

Data for an optimized crystal structure of ScTlTe. Values from VASP.

Calculated values
The value obtained for the electronic total energy is -12.64 eV/cell. As for the size of the total moment: 0.0026 μB per atom. The space group is F-43m (216). Its density of states at the Fermi level is 1.5108 states/eV/atom. The value obtained for the relative energy among the computed polymorphs is 0.2826 eV/atom. The calculation puts the formation energy from raw total energies at -0.265 eV per atom.

Cell and atoms, written as Quantum ESPRESSO input:
```
&SYSTEM
  ibrav = 0, nat = 3, ntyp = 3
/
ATOMIC_SPECIES
Tl 204.38 Tl.upf
Te 127.60 Te.upf
Sc 44.96 Sc.upf
ATOMIC_POSITIONS crystal
Tl 0.500 0.500 0.500
Te 0.000 0.000 0.000
Sc 0.250 0.250 0.250
CELL_PARAMETERS angstrom
5.017 0.000 0.000
2.508 4.344 0.000
2.508 1.448 4.096
```

***

(5)
## ZnHg2Ir (PBE-GGA)

Data for an optimized crystal structure of ZnHg2Ir. Values from VASP.

Calculated values
The value obtained for the electronic total energy is -17.70 eV/cell. As for the size of the total moment: 0.0000 μB per atom. The space group is I-42d (122). Its density of states at the Fermi level is 0.4503 states/eV/atom. As for the formation energy: 472 meV/atom.

Cell and atoms, written as Quantum ESPRESSO input:
```
&SYSTEM
  ibrav = 0, nat = 8, ntyp = 3
/
ATOMIC_SPECIES
Ir 192.22 Ir.upf
Hg 200.59 Hg.upf
Zn 65.41 Zn.upf
ATOMIC_POSITIONS crystal
Ir 0.750 0.250 0.500
Ir 0.000 0.000 0.000
Hg 0.631 0.125 0.250
Hg 0.875 0.881 0.750
Hg 0.375 0.369 0.750
Hg 0.119 0.625 0.250
Zn 0.500 0.500 0.000
Zn 0.250 0.750 0.500
CELL_PARAMETERS angstrom
-3.466 -1.944 0.528
1.853 -3.489 -0.681
1.123 -3.557 9.485
```

***

(6)
## Be3SiB (PBE-GGA)

Data for an optimized crystal structure of Be3SiB. Values from VASP.

Calculated values
The value obtained for the electronic total energy is -15.47 eV/cell. As for the size of the total moment: 0.0000 μB per atom. The space group is Pm-3m (221). Its density of states at the Fermi level is 0.6467 states/eV/atom. The value obtained for the relative energy among the computed polymorphs is 1.0745 eV/atom. The calculation puts the formation energy from raw total energies at 1.562 eV per atom.

Cell and atoms, written as Quantum ESPRESSO input:
```
&SYSTEM
  ibrav = 0, nat = 5, ntyp = 3
/
ATOMIC_SPECIES
Si 28.09 Si.upf
Be 9.01 Be.upf
B 10.81 B.upf
ATOMIC_POSITIONS crystal
Si 0.000 0.000 0.000
Be 0.000 0.500 0.000
Be 0.000 0.000 0.500
Be 0.500 0.000 0.000
B 0.500 0.500 0.500
CELL_PARAMETERS angstrom
4.137 0.000 0.000
0.000 4.137 0.000
0.000 0.000 4.137
```

***

(7)
## Li5MnCl8 (PBE-GGA)

Data for an optimized crystal structure of Li5MnCl8. Values from VASP.

Calculated values
The value obtained for the electronic total energy is -54.36 eV/cell. As for the size of the total moment: 0.2853 μB per atom. The space group is F-43m (216). Its density of states at the Fermi level is 0.4393 states/eV/atom. The value obtained for the relative energy among the computed polymorphs is 0.0241 eV/atom. The calculation puts the formation energy from raw total energies at -1.489 eV per atom.

Cell and atoms, written as Quantum ESPRESSO input:
```
&SYSTEM
  ibrav = 0, nat = 14, ntyp = 3
/
ATOMIC_SPECIES
Mn 54.94 Mn.upf
Cl 35.45 Cl.upf
Li 6.94 Li.upf
ATOMIC_POSITIONS crystal
Mn 0.250 0.250 0.250
Cl 0.373 0.880 0.373
Cl 0.880 0.373 0.373
Cl 0.870 0.870 0.870
Cl 0.391 0.870 0.870
Cl 0.870 0.870 0.391
Cl 0.870 0.391 0.870
Cl 0.373 0.373 0.373
Cl 0.373 0.373 0.880
Li 0.642 0.642 0.642
Li 0.000 0.000 0.000
Li 0.073 0.642 0.642
Li 0.642 0.642 0.073
Li 0.642 0.073 0.642
CELL_PARAMETERS angstrom
-4.555 -2.158 5.532
1.595 -6.132 3.983
2.204 0.634 7.124
```

***

(8)
## Na2Tm2NpS6 (PBE-GGA)

Data for an optimized crystal structure of Na2Tm2NpS6. Values from VASP.

Calculated values
The value obtained for the electronic total energy is -67.67 eV/cell. As for the size of the total moment: 0.2727 μB per atom. The space group is C2/m (12). Its density of states at the Fermi level is 0.5730 states/eV/atom. The calculation puts the formation energy from raw total energies at -1.671 eV per atom.

Cell and atoms, written as Quantum ESPRESSO input:
```
&SYSTEM
  ibrav = 0, nat = 11, ntyp = 4
/
ATOMIC_SPECIES
S 32.06 S.upf
Na 22.99 Na.upf
Tm 168.93 Tm.upf
Np 237.00 Np.upf
ATOMIC_POSITIONS crystal
S 0.404 0.069 0.718
S 0.596 0.931 0.282
S 0.744 0.744 0.718
S 0.931 0.596 0.282
S 0.069 0.404 0.718
S 0.256 0.256 0.282
Na 0.168 0.832 0.000
Na 0.832 0.168 0.000
Tm 0.666 0.334 0.500
Tm 0.334 0.666 0.500
Np 0.000 0.000 0.500
CELL_PARAMETERS angstrom
-1.706 -6.519 1.145
4.060 3.291 4.405
-6.192 3.102 1.618
```

***

(9)
## Li2PaO3 (PBE-GGA)

Data for an optimized crystal structure of Li2PaO3. Values from VASP.

Calculated values
The value obtained for the electronic total energy is -87.58 eV/cell. As for the size of the total moment: 0.1667 μB per atom. The space group is R-3c (167). Its density of states at the Fermi level is 0.1788 states/eV/atom. The calculation puts the formation energy from raw total energies at -2.599 eV per atom.

Cell and atoms, written as Quantum ESPRESSO input:
```
&SYSTEM
  ibrav = 0, nat = 12, ntyp = 3
/
ATOMIC_SPECIES
Li 6.94 Li.upf
O 16.00 O.upf
Pa 231.04 Pa.upf
ATOMIC_POSITIONS crystal
Li 0.818 0.818 0.547
Li 0.318 0.318 0.047
Li 0.182 0.182 0.453
Li 0.682 0.682 0.953
O 0.423 0.750 0.750
O 0.077 0.423 0.750
O 0.577 0.250 0.250
O 0.923 0.577 0.250
O 0.750 0.077 0.750
O 0.250 0.923 0.250
Pa 0.500 0.500 0.500
Pa 0.000 0.000 0.000
CELL_PARAMETERS angstrom
4.929 0.000 2.360
1.899 4.548 2.360
0.005 0.004 6.315
```

***

(10)
## MoAuSe2 (PBE-GGA)

Data for an optimized crystal structure of MoAuSe2. Values from VASP.

Calculated values
The value obtained for the electronic total energy is -20.80 eV/cell. As for the size of the total moment: 0.0000 μB per atom. The space group is R3m (160). Its density of states at the Fermi level is 0.4759 states/eV/atom. The value obtained for the relative energy among the computed polymorphs is 0.2402 eV/atom. The calculation puts the formation energy from raw total energies at 0.069 eV per atom.

Cell and atoms, written as Quantum ESPRESSO input:
```
&SYSTEM
  ibrav = 0, nat = 4, ntyp = 3
/
ATOMIC_SPECIES
Mo 95.94 Mo.upf
Au 196.97 Au.upf
Se 78.96 Se.upf
ATOMIC_POSITIONS crystal
Mo 0.751 0.751 0.751
Au 0.491 0.491 0.491
Se 0.028 0.028 0.028
Se 0.230 0.230 0.230
CELL_PARAMETERS angstrom
-6.337 -6.601 4.940
-5.014 -8.612 2.970
-3.620 -7.932 5.666
```

***

(11)
## PdAuS (PBE-GGA)

Data for an optimized crystal structure of PdAuS. Values from VASP.

Calculated values
The value obtained for the electronic total energy is -12.48 eV/cell. As for the size of the total moment: 0.0000 μB per atom. The space group is P3m1 (156). Its density of states at the Fermi level is 0.5666 states/eV/atom. The value obtained for the relative energy among the computed polymorphs is 0.0411 eV/atom. The calculation puts the formation energy from raw total energies at 0.038 eV per atom.

Cell and atoms, written as Quantum ESPRESSO input:
```
&SYSTEM
  ibrav = 0, nat = 3, ntyp = 3
/
ATOMIC_SPECIES
S 32.06 S.upf
Pd 106.42 Pd.upf
Au 196.97 Au.upf
ATOMIC_POSITIONS crystal
S 0.333 0.667 0.627
Pd 0.667 0.333 0.368
Au 0.000 0.000 0.005
CELL_PARAMETERS angstrom
3.331 0.000 0.000
-1.665 2.884 0.000
0.000 0.000 5.480
```

***

(12)
## GeRuCl2 (PBE-GGA)

Data for an optimized crystal structure of GeRuCl2. Values from VASP.

Calculated values
The value obtained for the electronic total energy is -15.49 eV/cell. As for the size of the total moment: 0.5098 μB per atom. The space group is Fm-3m (225). Its density of states at the Fermi level is 0.9711 states/eV/atom. The value obtained for the relative energy among the computed polymorphs is 0.2934 eV/atom. The calculation puts the formation energy from raw total energies at 0.523 eV per atom.

Cell and atoms, written as Quantum ESPRESSO input:
```
&SYSTEM
  ibrav = 0, nat = 4, ntyp = 3
/
ATOMIC_SPECIES
Cl 35.45 Cl.upf
Ge 72.64 Ge.upf
Ru 101.07 Ru.upf
ATOMIC_POSITIONS crystal
Cl 0.250 0.250 0.250
Cl 0.750 0.750 0.750
Ge 0.000 0.000 0.000
Ru 0.500 0.500 0.500
CELL_PARAMETERS angstrom
-1.357 -4.451 -0.601
-4.418 -0.956 -1.259
-0.914 -1.612 -4.310
```